Model a:
Material: CaCr2Si
Method: DFT, PBEsol
State: optimized geometry

## Properties
For the total magnetic moment, the calculation gives 0.3 μB per formula unit. As for the theoretical density: 4800 kg/m3.

Cell: 3.793 3.793 4.139 Å, 90.00 90.00 90.00°
Fractional coordinates of all 4 atoms:
1 Ca 0.000 0.000 0.500
2 Cr 0.000 0.500 0.000
3 Cr 0.500 0.000 0.000
4 Si 0.500 0.500 0.500

***

Model b:
Material: CaCr2Si
Method: DFT, PBEsol
State: optimized geometry

## Properties
For the total magnetic moment, the calculation gives 1.4 μB per formula unit. As for the theoretical density: 4519 kg/m3.

Cell: 2.986 2.986 7.095 Å, 90.00 90.00 90.00°
Fractional coordinates of all 4 atoms:
1 Ca 0.000 0.000 0.740
2 Cr 0.500 0.500 0.082
3 Cr 0.000 0.000 0.239
4 Si 0.500 0.500 0.439

***

Unit: meV per atom. Relative energies: model a 618; model b 0.